# ErRhSe2 (PBE, optimized geometry)
# Theoretical density = 7.15 g cm⁻³
# Raw formation energy = -0.484 eV/atom
data_ErRhSe2
_symmetry_space_group_name_H-M 'R -3 m'
_symmetry_Int_Tables_number 166
_symmetry_space_group_name_Hall '-R 3 2"'
_cell_length_a 3.7541
_cell_length_b 3.7541
_cell_length_c 24.4498
_cell_angle_alpha 90.00
_cell_angle_beta 90.00
_cell_angle_gamma 120.00
loop_
_atom_site_label
_atom_site_fract_x
_atom_site_fract_y
_atom_site_fract_z
Er1 0.0000 0.0000 0.0000
Rh1 0.0000 0.0000 0.5000
Se1 0.0000 0.0000 0.1143